# PBE RbSbAuI2, optimized geometry
# Crystal system: tetragonal
# Distance to the lowest polymorph of the same formula (kJ per mole of atoms): 96.0
# Formation energy from raw total energies (eV/atom): 0.743
# V (Å³/cell): 342.2
# Symmetry: P4/mmm, No. 123
data_RbSbAuI2
_cell_length_a 6.776
_cell_length_b 6.776
_cell_length_c 7.452
_cell_angle_alpha 90.00
_cell_angle_beta 90.00
_cell_angle_gamma 90.00
_space_group_name_H-M_alt 'P 1'
_space_group_IT_number 1
loop_
_space_group_symop_operation_xyz
'x,y,z'
loop_
_atom_site_label
_atom_site_type_symbol
_atom_site_fract_x
_atom_site_fract_y
_atom_site_fract_z
Rb1 Rb 0.000 0.000 0.000
Sb1 Sb 0.000 0.000 0.500
Au1 Au 0.500 0.500 0.500
I1 I 0.000 0.500 0.000
I2 I 0.500 0.000 0.000

=====

# PBE PrPd4Au2, optimized geometry
# Crystal system: tetragonal
# Distance to the lowest polymorph of the same formula (kJ per mole of atoms): 59.5
# V (Å³/cell): 358.7
# Symmetry: I4/mmm, No. 139
data_PrPd4Au2
_cell_length_a 8.253
_cell_length_b 8.253
_cell_length_c 5.266
_cell_angle_alpha 90.00
_cell_angle_beta 90.00
_cell_angle_gamma 90.00
_space_group_name_H-M_alt 'P 1'
_space_group_IT_number 1
loop_
_space_group_symop_operation_xyz
'x,y,z'
loop_
_atom_site_label
_atom_site_type_symbol
_atom_site_fract_x
_atom_site_fract_y
_atom_site_fract_z
Pr1 Pr 0.000 0.000 0.000
Pr2 Pr 0.500 0.500 0.500
Pd1 Pd 0.000 0.218 0.500
Pd2 Pd 0.000 0.782 0.500
Pd3 Pd 0.218 0.000 0.500
Pd4 Pd 0.282 0.500 0.000
Pd5 Pd 0.500 0.282 0.000
Pd6 Pd 0.500 0.718 0.000
Pd7 Pd 0.718 0.500 0.000
Pd8 Pd 0.782 0.000 0.500
Au1 Au 0.000 0.500 0.250
Au2 Au 0.000 0.500 0.750
Au3 Au 0.500 0.000 0.250
Au4 Au 0.500 0.000 0.750

=====

# PBE Na2SbW, optimized geometry
# Crystal system: tetragonal
# Formation energy from raw total energies (eV/atom): 1.022
# V (Å³/cell): 425.8
# Symmetry: I-42d, No. 122
data_Na2SbW
_cell_length_a 8.883
_cell_length_b 8.883
_cell_length_c 5.396
_cell_angle_alpha 90.00
_cell_angle_beta 90.00
_cell_angle_gamma 90.00
_space_group_name_H-M_alt 'P 1'
_space_group_IT_number 1
loop_
_space_group_symop_operation_xyz
'x,y,z'
loop_
_atom_site_label
_atom_site_type_symbol
_atom_site_fract_x
_atom_site_fract_y
_atom_site_fract_z
Na1 Na 0.243 0.250 0.125
Na2 Na 0.250 0.743 0.375
Na3 Na 0.250 0.757 0.875
Na4 Na 0.257 0.250 0.625
Na5 Na 0.743 0.750 0.625
Na6 Na 0.750 0.243 0.875
Na7 Na 0.750 0.257 0.375
Na8 Na 0.757 0.750 0.125
Sb1 Sb 0.000 0.000 0.000
Sb2 Sb 0.000 0.500 0.250
Sb3 Sb 0.500 0.000 0.750
Sb4 Sb 0.500 0.500 0.500
W1 W 0.000 0.000 0.500
W2 W 0.000 0.500 0.750
W3 W 0.500 0.000 0.250
W4 W 0.500 0.500 0.000

=====

# PBE Tb2Nd12Tm5, optimized geometry
# Crystal system: monoclinic
# Distance to the lowest polymorph of the same formula (kJ per mole of atoms): 2.3
# V (Å³/cell): 648.9
# Symmetry: C2/m, No. 12
data_Tb2Nd12Tm5
_cell_length_a 9.261
_cell_length_b 9.261
_cell_length_c 8.084
_cell_angle_alpha 92.96
_cell_angle_beta 92.96
_cell_angle_gamma 69.69
_space_group_name_H-M_alt 'P 1'
_space_group_IT_number 1
loop_
_space_group_symop_operation_xyz
'x,y,z'
loop_
_atom_site_label
_atom_site_type_symbol
_atom_site_fract_x
_atom_site_fract_y
_atom_site_fract_z
Tb1 Tb 0.232 0.768 0.000
Tb2 Tb 0.768 0.232 0.000
Nd1 Nd 0.055 0.055 0.714
Nd2 Nd 0.090 0.539 0.208
Nd3 Nd 0.121 0.666 0.614
Nd4 Nd 0.334 0.879 0.386
Nd5 Nd 0.366 0.366 0.890
Nd6 Nd 0.461 0.910 0.792
Nd7 Nd 0.539 0.090 0.208
Nd8 Nd 0.634 0.634 0.110
Nd9 Nd 0.666 0.121 0.614
Nd10 Nd 0.879 0.334 0.386
Nd11 Nd 0.910 0.461 0.792
Nd12 Nd 0.945 0.945 0.286
Tm1 Tm 0.156 0.156 0.097
Tm2 Tm 0.258 0.258 0.511
Tm3 Tm 0.500 0.500 0.500
Tm4 Tm 0.742 0.742 0.489
Tm5 Tm 0.844 0.844 0.903